1.
EuErCo: optimized geometry, GGA-PBE.

The space group is I4mm (No. 107) and the conventional cell measures 3.413, 3.413 and 12.818 Å, with angles of 90.00, 90.00 and 90.00 degrees. Symmetry generates all atoms from Eu at (0.000, 0.000, 0.000), Er at (0.000, 0.000, 0.257) and Co at (0.000, 0.000, 0.646).

The total energy is -43.873 eV for the cell shown.

---

2.
LiEuErCo: optimized geometry, GGA-PBE.

The space group is F-43m (No. 216) and the conventional cell measures 6.964, 6.964 and 6.964 Å, with angles of 90.00, 90.00 and 90.00 degrees. Symmetry generates all atoms from Li at (0.000, 0.000, 0.000), Eu at (0.250, 0.250, 0.750), Er at (0.250, 0.250, 0.250) and Co at (0.000, 0.000, 0.500).

The total energy is -94.125 eV for the cell shown.